<one>
Here is a relaxed structure of PuSb2Pd2 from Alexandria via LeMat-Bulk. Energies are from PBE.

Lattice parameters (Å, degrees): 4.7356 4.6330 10.3388 90.00 90.95 90.00
Closest atoms and distances in Å follow each position.
Fractional positions:
1 Pu 0.2416 0.2500 0.2448  7 Pd 3.25-3.59, 8 Sb 3.44-3.63
2 Pu 0.7584 0.7500 0.7552  7 Pd 3.25-3.59, 8 Sb 3.44-3.63
3 Sb 0.2539 0.7500 0.4961  4 Pd 2.67-2.69
4 Sb 0.2916 0.2500 0.8740  5 Pd 2.58-2.73
5 Sb 0.7084 0.7500 0.1260  5 Pd 2.58-2.73
6 Sb 0.7461 0.2500 0.5039  4 Pd 2.67-2.69
7 Pd 0.1997 0.7500 0.9988  4 Sb 2.69-2.73, 2 Pd 2.99
8 Pd 0.2475 0.2500 0.6253  5 Sb 2.58-2.69
9 Pd 0.7525 0.7500 0.3747  5 Sb 2.58-2.69
10 Pd 0.8003 0.2500 0.0012  4 Sb 2.69-2.73, 2 Pd 2.99

Values from the calculation:
volume = 226.8 Å³ per cell



<two>
Here is a relaxed structure of PuSb2Pd2 from Alexandria via LeMat-Bulk. Energies are from PBE.

Lattice parameters (Å, degrees): 6.9677 6.9677 6.6206 114.26 114.26 100.90
Closest atoms and distances in Å follow each position.
Fractional positions:
1 Pu 0.1380 0.8620 0.7500  2 Pd 2.93, 2 Sb 3.13-3.18
2 Pu 0.8620 0.1380 0.2500  2 Pd 2.93, 2 Sb 3.13-3.18
3 Sb 0.1533 0.8467 0.2500  4 Pd 2.67-2.69
4 Sb 0.4344 0.5656 0.7500  4 Pd 2.69-2.70
5 Sb 0.5656 0.4344 0.2500  4 Pd 2.69-2.70
6 Sb 0.8467 0.1533 0.7500  4 Pd 2.67-2.69
7 Pd 0.1913 0.4753 0.2571  4 Sb 2.67-2.70, 1 Pu 2.93
8 Pd 0.4753 0.1913 0.7571  4 Sb 2.67-2.70, 1 Pu 2.93
9 Pd 0.5247 0.8087 0.2429  4 Sb 2.67-2.70, 1 Pu 2.93
10 Pd 0.8087 0.5247 0.7429  4 Sb 2.67-2.70, 1 Pu 2.93

Values from the calculation:
volume = 241.1 Å³ per cell



<one> has the most favorable energy; the next structure is 179 meV per atom above.



<one>
Here is a relaxed structure of PuScPd from Alexandria via LeMat-Bulk. Energies are from PBE.

Lattice parameters (Å, degrees): 10.4572 9.7244 5.7087 80.77 66.62 32.61
Closest atoms and distances in Å follow each position.
Fractional positions:
1 Pu 0.0433 0.0433 0.2067  4 Pd 2.97-3.08, 3 Pu 3.02-3.27
2 Pu 0.2067 0.2067 0.0433  4 Pd 2.97-3.08, 3 Pu 3.02-3.27
3 Pu 0.7933 0.7933 0.9567  4 Pd 2.97-3.08, 3 Pu 3.02-3.27
4 Pu 0.9567 0.9567 0.7933  4 Pd 2.97-3.08, 3 Pu 3.02-3.27
5 Sc 0.2032 0.5468 0.2032  4 Pd 2.83-2.89
6 Sc 0.4532 0.7968 0.4532  4 Pd 2.83-2.89
7 Sc 0.5468 0.2032 0.5468  4 Pd 2.83-2.89
8 Sc 0.7968 0.4532 0.7968  4 Pd 2.83-2.89
9 Pd 0.2520 0.2520 0.4980  4 Sc 2.83-2.89, 2 Pd 2.86, 4 Pu 2.97-3.08
10 Pd 0.4980 0.4980 0.2520  4 Sc 2.83-2.89, 2 Pd 2.86, 4 Pu 2.97-3.08
11 Pd 0.5020 0.5020 0.7480  4 Sc 2.83-2.89, 2 Pd 2.86, 4 Pu 2.97-3.08
12 Pd 0.7480 0.7480 0.5020  4 Sc 2.83-2.89, 2 Pd 2.86, 4 Pu 2.97-3.08

Values from the calculation:
volume = 268.8 Å³ per cell



<two>
Here is a relaxed structure of PuScPd from Alexandria via LeMat-Bulk. Energies are from PBE.

Lattice parameters (Å, degrees): 6.3932 6.3932 6.3932 149.62 149.62 43.49
Closest atoms and distances in Å follow each position.
Fractional positions:
1 Pu 0.0000 0.0000 0.0000  4 Pd 3.12, 4 Pu 3.35, 5 Sc 3.43-3.46
2 Sc 0.2913 0.2913 0.0000  4 Pd 2.76
3 Pd 0.6715 0.6715 0.0000  4 Sc 2.76

Values from the calculation:
volume = 66.6 Å³ per cell



<one> has the most favorable energy; the next structure is 39 meV per atom above.



<one>
Here is a relaxed structure of PuPdSe from Alexandria via LeMat-Bulk. Energies are from PBE.

Lattice parameters (Å, degrees): 5.1382 5.1382 5.1382 136.49 136.49 63.22
Closest atoms and distances in Å follow each position.
Fractional positions:
1 Pu 0.0000 0.0000 0.0000  5 Pd 2.95-3.05, 5 Se 3.00-3.04
2 Pd 0.6627 0.6627 0.0000  1 Se 2.76, 5 Pu 2.95-3.05
3 Se 0.3479 0.3479 0.0000  1 Pd 2.76, 5 Pu 3.00-3.04

Values from the calculation:
volume = 63.5 Å³ per cell



<two>
Here is a relaxed structure of PuPdSe from Alexandria via LeMat-Bulk. Energies are from PBE.

Lattice parameters (Å, degrees): 5.9519 5.9519 5.9519 138.40 107.24 87.47
Closest atoms and distances in Å follow each position.
Fractional positions:
1 Pu 0.2400 0.0000 0.2400  6 Pd 3.10-3.42, 6 Se 3.16-3.25, 1 Pu 3.39
2 Pu 0.7600 0.0000 0.7600  6 Pd 3.10-3.42, 6 Se 3.16-3.25, 1 Pu 3.39
3 Pd 0.3461 0.3461 0.0000  2 Se 2.51, 1 Pd 2.65
4 Pd 0.6539 0.6539 0.0000  2 Se 2.51, 1 Pd 2.65
5 Se 0.1885 0.6885 0.5000  2 Pd 2.51
6 Se 0.8115 0.3115 0.5000  2 Pd 2.51

Values from the calculation:
volume = 128.4 Å³ per cell



<three>
Here is a relaxed structure of PuPdSe from Alexandria via LeMat-Bulk. Energies are from PBE.

Lattice parameters (Å, degrees): 4.4330 4.4330 3.7508 90.00 90.00 120.00
Closest atoms and distances in Å follow each position.
Fractional positions:
1 Pu 0.0000 0.0000 0.0000  6 Pd 3.17, 6 Se 3.17
2 Pd 0.6667 0.3333 0.5009  3 Se 2.56
3 Se 0.3333 0.6667 0.4994  3 Pd 2.56

Values from the calculation:
volume = 63.8 Å³ per cell



<three> has the most favorable energy; the next structure is 27 meV per atom above.



<one>
Here is a relaxed structure of PuPdSe2 from Alexandria via LeMat-Bulk. Energies are from PBE.

Lattice parameters (Å, degrees): 6.6643 6.6643 6.6643 35.45 35.45 35.45
Closest atoms and distances in Å follow each position.
Fractional positions:
1 Pu 0.0000 0.0000 0.0000  6 Se 2.88-2.92
2 Pd 0.8162 0.8162 0.8162  6 Se 2.60-2.89
3 Se 0.2403 0.2403 0.2403  3 Pd 2.89, 3 Pu 2.92
4 Se 0.4231 0.4231 0.4231  3 Pd 2.60, 3 Pu 2.88

Values from the calculation:
volume = 89.0 Å³ per cell



<two>
Here is a relaxed structure of PuPdSe2 from Alexandria via LeMat-Bulk. Energies are from PBE.

Lattice parameters (Å, degrees): 8.7317 8.7317 8.7317 24.79 24.79 24.79
Closest atoms and distances in Å follow each position.
Fractional positions:
1 Pu 0.0000 0.0000 0.0000  2 Se 2.84
2 Pd 0.5000 0.5000 0.5000  6 Se 2.57
3 Se 0.1118 0.1118 0.1118  3 Pd 2.57, 1 Pu 2.84
4 Se 0.8882 0.8882 0.8882  3 Pd 2.57, 1 Pu 2.84

Values from the calculation:
volume = 103.0 Å³ per cell



<one> has the most favorable energy; the next structure is 600 meV per atom above.



<one>
Here is a relaxed structure of PuSiPd3 from Alexandria via LeMat-Bulk. Energies are from PBE.

Lattice parameters (Å, degrees): 4.5690 6.3546 6.1529 90.00 90.00 90.00
Closest atoms and distances in Å follow each position.
Fractional positions:
1 Pu 0.2500 0.2500 0.2057  6 Pd 2.84-3.00, 2 Si 3.14
2 Pu 0.7500 0.7500 0.7943  6 Pd 2.84-3.00, 2 Si 3.14
3 Si 0.2500 0.7500 0.4434  3 Pd 2.31-2.40
4 Si 0.7500 0.2500 0.5566  3 Pd 2.31-2.40
5 Pd 0.2500 0.0404 0.6923  1 Si 2.40, 1 Pd 2.66
6 Pd 0.2500 0.4596 0.6923  1 Si 2.40, 1 Pd 2.66
7 Pd 0.2500 0.7500 0.0680  1 Si 2.31
8 Pd 0.7500 0.2500 0.9320  1 Si 2.31
9 Pd 0.7500 0.5404 0.3077  1 Si 2.40, 1 Pd 2.66
10 Pd 0.7500 0.9596 0.3077  1 Si 2.40, 1 Pd 2.66

Values from the calculation:
volume = 178.6 Å³ per cell



<two>
Here is a relaxed structure of PuSiPd3 from Alexandria via LeMat-Bulk. Energies are from PBE.

Lattice parameters (Å, degrees): 4.6359 4.6359 4.6359 90.00 90.00 90.00
Closest atoms and distances in Å follow each position.
Fractional positions:
1 Pu 0.0000 0.0000 0.0000  12 Pd 3.28
2 Si 0.5000 0.5000 0.5000  6 Pd 2.32
3 Pd 0.0000 0.5000 0.5000  2 Si 2.32
4 Pd 0.5000 0.0000 0.5000  2 Si 2.32
5 Pd 0.5000 0.5000 0.0000  2 Si 2.32

Values from the calculation:
volume = 99.6 Å³ per cell



<one> has the most favorable energy; the next structure is 180 meV per atom above.



<one>
Here is a relaxed structure of Pu2Si2Pd from Alexandria via LeMat-Bulk. Energies are from PBE.

Lattice parameters (Å, degrees): 5.5449 5.5449 7.4517 99.76 99.76 61.51
Closest atoms and distances in Å follow each position.
Fractional positions:
1 Pu 0.0209 0.2657 0.1476  6 Si 2.92-3.08, 1 Pd 3.25
2 Pu 0.2657 0.0209 0.6476  6 Si 2.92-3.08, 1 Pd 3.25
3 Pu 0.7343 0.9791 0.3524  6 Si 2.92-3.08, 1 Pd 3.25
4 Pu 0.9791 0.7343 0.8524  6 Si 2.92-3.08, 1 Pd 3.25
5 Si 0.2336 0.4926 0.5000  2 Pd 2.48-2.54, 1 Si 2.55
6 Si 0.4926 0.2336 0.0000  2 Pd 2.48-2.54, 1 Si 2.55
7 Si 0.5074 0.7664 0.0000  2 Pd 2.48-2.54, 1 Si 2.55
8 Si 0.7664 0.5074 0.5000  2 Pd 2.48-2.54, 1 Si 2.55
9 Pd 0.3664 0.6336 0.2500  4 Si 2.48-2.54
10 Pd 0.6336 0.3664 0.7500  4 Si 2.48-2.54

Values from the calculation:
volume = 197.4 Å³ per cell



<two>
Here is a relaxed structure of Pu2Si2Pd from Alexandria via LeMat-Bulk. Energies are from PBE.

Lattice parameters (Å, degrees): 5.7362 5.7362 10.1117 117.88 117.88 43.85
Closest atoms and distances in Å follow each position.
Fractional positions:
1 Pu 0.0176 0.0176 0.1903  6 Si 2.93-3.09, 4 Pd 3.11-3.17
2 Pu 0.1872 0.1872 0.5973  6 Si 2.98-3.18
3 Pu 0.8128 0.8128 0.4027  6 Si 2.98-3.18
4 Pu 0.9824 0.9824 0.8097  6 Si 2.93-3.09, 4 Pd 3.11-3.17
5 Si 0.3674 0.3674 0.9380  1 Si 2.44, 3 Pd 2.51-2.54
6 Si 0.4963 0.4963 0.6193  1 Si 2.45, 1 Pd 2.51
7 Si 0.5037 0.5037 0.3807  1 Si 2.45, 1 Pd 2.51
8 Si 0.6326 0.6326 0.0620  1 Si 2.44, 3 Pd 2.51-2.54
9 Pd 0.2739 0.2739 0.1250  4 Si 2.51-2.54
10 Pd 0.7261 0.7261 0.8750  4 Si 2.51-2.54

Values from the calculation:
volume = 199.1 Å³ per cell



<two> has the most favorable energy; the next structure is 28 meV per atom above.



<one>
Here is a relaxed structure of Pu3SnPd2 from Alexandria via LeMat-Bulk. Energies are from PBE.

Lattice parameters (Å, degrees): 7.2612 7.2612 7.2612 69.58 69.58 69.58
Closest atoms and distances in Å follow each position.
Fractional positions:
1 Pu 0.0606 0.7500 0.4394  4 Pd 2.92-3.16, 2 Sn 3.17
2 Pu 0.2500 0.5606 0.9394  4 Pd 2.92-3.16, 2 Sn 3.17
3 Pu 0.4394 0.0606 0.7500  4 Pd 2.92-3.16, 2 Sn 3.17
4 Pu 0.5606 0.9394 0.2500  4 Pd 2.92-3.16, 2 Sn 3.17
5 Pu 0.7500 0.4394 0.0606  4 Pd 2.92-3.16, 2 Sn 3.17
6 Pu 0.9394 0.2500 0.5606  4 Pd 2.92-3.16, 2 Sn 3.17
7 Sn 0.0000 0.0000 0.0000  2 Pd 2.71
8 Sn 0.5000 0.5000 0.5000  2 Pd 2.71
9 Pd 0.1654 0.1654 0.1654  1 Sn 2.71, 1 Pd 2.77, 3 Pu 2.92
10 Pd 0.3346 0.3346 0.3346  1 Sn 2.71, 1 Pd 2.77, 3 Pu 2.92
11 Pd 0.6654 0.6654 0.6654  1 Sn 2.71, 1 Pd 2.77, 3 Pu 2.92
12 Pd 0.8346 0.8346 0.8346  1 Sn 2.71, 1 Pd 2.77, 3 Pu 2.92

Values from the calculation:
volume = 324.8 Å³ per cell



<two>
Here is a relaxed structure of Pu3SnPd2 from Alexandria via LeMat-Bulk. Energies are from PBE.

Lattice parameters (Å, degrees): 3.4174 3.4174 11.9434 90.00 90.00 90.00
Closest atoms and distances in Å follow each position.
Fractional positions:
1 Pu 0.0000 0.0000 0.0000  8 Pd 3.03
2 Pu 0.0000 0.0000 0.3094  4 Pd 3.05, 4 Sn 3.32, 4 Pu 3.42
3 Pu 0.0000 0.0000 0.6906  4 Pd 3.05, 4 Sn 3.32, 4 Pu 3.42
4 Sn 0.5000 0.5000 0.5000  8 Pu 3.32, 4 Sn 3.42
5 Pd 0.5000 0.5000 0.1531  8 Pu 3.03-3.05
6 Pd 0.5000 0.5000 0.8469  8 Pu 3.03-3.05

Values from the calculation:
volume = 139.5 Å³ per cell



<two> has the most favorable energy; the next structure is 204 meV per atom above.



<one>
Here is a relaxed structure of Pu2SnPd6 from Alexandria via LeMat-Bulk. Energies are from PBE.

Lattice parameters (Å, degrees): 5.7608 5.7608 6.0899 90.00 90.00 120.00
Closest atoms and distances in Å follow each position.
Fractional positions:
1 Pu 0.3333 0.6667 0.1804  6 Pd 3.01
2 Pu 0.6667 0.3333 0.8196  6 Pd 3.01
3 Sn 0.0000 0.0000 0.0000  6 Pd 2.63
4 Pd 0.1755 0.3510 0.6782  1 Sn 2.63, 4 Pd 2.73-2.79
5 Pd 0.1755 0.8245 0.6782  1 Sn 2.63, 4 Pd 2.73-2.79
6 Pd 0.3510 0.1755 0.3218  1 Sn 2.63, 4 Pd 2.73-2.79
7 Pd 0.6490 0.8245 0.6782  1 Sn 2.63, 4 Pd 2.73-2.79
8 Pd 0.8245 0.1755 0.3218  1 Sn 2.63, 4 Pd 2.73-2.79
9 Pd 0.8245 0.6490 0.3218  1 Sn 2.63, 4 Pd 2.73-2.79

Values from the calculation:
volume = 175.1 Å³ per cell



<two>
Here is a relaxed structure of Pu2SnPd6 from Alexandria via LeMat-Bulk. Energies are from PBE.

Lattice parameters (Å, degrees): 5.7036 5.7036 6.3606 101.77 101.77 60.65
Closest atoms and distances in Å follow each position.
Fractional positions:
1 Pu 0.1459 0.1459 0.3405  7 Pd 3.00-3.25
2 Pu 0.8541 0.8541 0.6595  7 Pd 3.00-3.25
3 Sn 0.5000 0.5000 0.5000  6 Pd 2.60-2.65
4 Pd 0.1080 0.6338 0.1703  1 Sn 2.65, 5 Pd 2.73-2.96
5 Pd 0.3662 0.8920 0.8297  1 Sn 2.65, 5 Pd 2.73-2.96
6 Pd 0.3682 0.3682 0.8085  1 Sn 2.60, 4 Pd 2.75
7 Pd 0.6318 0.6318 0.1915  1 Sn 2.60, 4 Pd 2.75
8 Pd 0.6338 0.1080 0.1703  1 Sn 2.65, 5 Pd 2.73-2.96
9 Pd 0.8920 0.3662 0.8297  1 Sn 2.65, 5 Pd 2.73-2.96

Values from the calculation:
volume = 175.3 Å³ per cell



<one> has the most favorable energy; the next structure is 7 meV per atom above.